P | Entry from Alexandria via LeMat-Bulk: a relaxed ZrBi2Ir crystal (PBE).

Its total magnetic moment is 0.0 μB/cell.

abc: 3.4150 3.4150 29.9842
angles: 90.00 90.00 120.00
Space group R-3m (No. 166, hexagonal axes)
Unique sites:
Zr  0.0000  0.0000  0.0000
Bi  0.0000  0.0000  0.1004
Ir  0.0000  0.0000  0.5000


Q | Entry from Alexandria via LeMat-Bulk: a relaxed ZrBi2Ir crystal (PBE).

Its total magnetic moment is 0.0 μB/cell.

abc: 8.1598 8.1598 5.9858
angles: 90.00 90.00 90.00
Space group I-42d (No. 122)
Unique sites:
Zr  0.0000  0.0000  0.0000
Bi  0.1999  0.2500  0.6250
Ir  0.0000  0.0000  0.5000


R | Entry from Alexandria via LeMat-Bulk: a relaxed ZrBi2Ir crystal (PBE).

Its total magnetic moment is 0.0 μB/cell.

abc: 7.0965 7.0965 7.0965
angles: 90.00 90.00 90.00
Space group Fm-3m (No. 225)
Unique sites:
Zr  0.0000  0.0000  0.0000
Bi  0.2500  0.2500  0.2500
Ir  0.0000  0.0000  0.5000


R ends up most stable, edging out the next structure by 3.7 kJ/mol of atoms.


P | Entry from Alexandria via LeMat-Bulk: a relaxed ZrBi3Ir crystal (PBE).

Its total magnetic moment is 1.7 μB/cell.

abc: 5.5557 5.5557 5.5557
angles: 90.00 90.00 90.00
Space group Pm-3m (No. 221)
Unique sites:
Zr  0.0000  0.0000  0.0000
Bi  0.0000  0.0000  0.5000
Ir  0.5000  0.5000  0.5000


Q | Entry from Alexandria via LeMat-Bulk: a relaxed ZrBi3Ir crystal (PBE).

Its total magnetic moment is 0.0 μB/cell.

abc: 5.3219 5.3219 5.3219
angles: 90.00 90.00 90.00
Space group Pm-3m (No. 221)
Unique sites:
Zr  0.0000  0.0000  0.0000
Bi  0.0000  0.5000  0.5000
Ir  0.5000  0.5000  0.5000


Q ends up most stable, edging out the next structure by 49.2 kJ/mol of atoms.


P | Entry from Alexandria via LeMat-Bulk: a relaxed K3Bi crystal (PBE).

Its total magnetic moment is 0.0 μB/cell.

abc: 6.1477 6.1477 8.7252
angles: 90.00 90.00 90.00
Space group I4/mmm (No. 139)
Unique sites:
K  0.0000  0.0000  0.0000
K  0.0000  0.5000  0.2500
Bi  0.0000  0.0000  0.5000


Q | Entry from Alexandria via LeMat-Bulk: a relaxed K3Bi crystal (PBE).

Its total magnetic moment is 0.0 μB/cell.

abc: 5.5758 5.5758 5.5801
angles: 90.00 90.00 90.00
Space group P-4m2 (No. 115)
Unique sites:
K  0.0000  0.0000  0.0000
K  0.0000  0.5000  0.4985
Bi  0.5000  0.5000  0.0000


P ends up most stable, edging out the next structure by 12.5 kJ/mol of atoms.


P | Entry from Alexandria via LeMat-Bulk: a relaxed KLa3Bi crystal (PBE).

Its total magnetic moment is 2.4 μB/cell.

abc: 6.3156 6.3156 6.3156
angles: 90.00 90.00 90.00
Space group Pm-3m (No. 221)
Unique sites:
K  0.0000  0.0000  0.0000
La  0.0000  0.5000  0.5000
Bi  0.5000  0.5000  0.5000


Q | Entry from Alexandria via LeMat-Bulk: a relaxed KLa3Bi crystal (PBE).

Its total magnetic moment is 0.0 μB/cell.

abc: 5.5785 5.5785 5.5785
angles: 90.00 90.00 90.00
Space group Pm-3m (No. 221)
Unique sites:
K  0.0000  0.0000  0.0000
La  0.0000  0.0000  0.5000
Bi  0.5000  0.5000  0.5000


P ends up most stable, edging out the next structure by 59.5 kJ/mol of atoms.